# 1
Here is a relaxed LaAl2Cd crystal from Alexandria. Energies are from GGA-PBE.

abc: 5.0788 5.0788 5.0788
angles: 60.00 60.00 60.00
Last column: nearest neighbours and their distance in Å.
Fractional positions:
La: 0.7500 0.7500 0.7500  4 Cd 3.11, 4 Al 3.11
Al: 0.2500 0.2500 0.2500  4 Al 3.11, 4 Cd 3.11
Al: 0.0000 0.0000 0.0000  4 La 3.11, 4 Al 3.11
Cd: 0.5000 0.5000 0.5000  4 La 3.11, 4 Al 3.11

Summary:
- crystal system = cubic
- energy relative to the elements (eV per atom) = -0.15
- symmetry = No. 216



# 2
Here is a relaxed Ca2MgRh2 crystal from Alexandria. Energies are from GGA-PBE.

abc: 4.4984 4.4984 6.6653
angles: 70.28 70.28 90.00
Last column: nearest neighbours and their distance in Å.
Fractional positions:
Ca: 0.2500 0.7500 0.5000  4 Rh 2.81
Ca: 0.7500 0.2500 0.5000  4 Rh 2.81
Rh: 0.3931 0.3931 0.2138  1 Rh 2.50, 4 Ca 2.81
Rh: 0.6069 0.6069 0.7862  1 Rh 2.50, 4 Ca 2.81
Mg: 0.0000 0.0000 0.0000  8 Rh 3.42, 8 Ca 3.69

Summary:
- crystal system = tetragonal
- energy relative to the elements (eV per atom) = 0.15
- symmetry = No. 139



# 3
Here is a relaxed Ca2Zn3Cu crystal from Alexandria. Energies are from GGA-PBE.

abc: 5.8575 5.8575 8.5431
angles: 106.82 106.82 98.98
Last column: nearest neighbours and their distance in Å.
Fractional positions:
Ca: 0.7500 0.2500 0.5000  8 Zn 3.16-3.18, 4 Cu 3.20
Ca: 0.2500 0.7500 0.5000  8 Zn 3.16-3.18, 4 Cu 3.20
Ca: 0.7469 0.7469 0.0000  2 Cu 3.16, 10 Zn 3.17-3.24
Ca: 0.2531 0.2531 0.0000  2 Cu 3.16, 10 Zn 3.17-3.24
Zn: 0.3382 0.8315 0.1697  1 Cu 2.52, 2 Zn 2.60
Zn: 0.1685 0.6618 0.8303  1 Cu 2.52, 2 Zn 2.60
Zn: 0.8315 0.3382 0.1697  1 Cu 2.52, 2 Zn 2.60
Zn: 0.8311 0.8311 0.6621  1 Cu 2.52, 2 Zn 2.60
Zn: 0.6618 0.1685 0.8303  1 Cu 2.52, 2 Zn 2.60
Zn: 0.1689 0.1689 0.3379  1 Cu 2.52, 2 Zn 2.60
Cu: 0.3337 0.3337 0.6675  3 Zn 2.52
Cu: 0.6663 0.6663 0.3325  3 Zn 2.52

Summary:
- crystal system = orthorhombic
- energy relative to the elements (eV per atom) = -0.23
- symmetry = No. 69



# 4
Here is a relaxed LiCdBr2 crystal from Alexandria. Energies are from GGA-PBE.

abc: 5.3230 5.3230 5.3230
angles: 60.00 60.00 60.00
Last column: nearest neighbours and their distance in Å.
Fractional positions:
Br: 0.0000 0.0000 0.0000  4 Br 3.26, 4 Li 3.26
Br: 0.7500 0.7500 0.7500  4 Cd 3.26, 4 Br 3.26
Cd: 0.5000 0.5000 0.5000  4 Br 3.26, 4 Li 3.26
Li: 0.2500 0.2500 0.2500  4 Br 3.26, 4 Cd 3.26

Summary:
- crystal system = cubic
- symmetry = No. 216
- E_form (uncorrected) (meV per atom) = -326



# 5
Here is a relaxed Ni4P5 crystal from Alexandria. Energies are from GGA-PBE.

abc: 6.0779 6.0779 6.0779
angles: 94.09 94.09 149.03
Last column: nearest neighbours and their distance in Å.
Fractional positions:
Ni: 0.0000 0.3261 0.3261  7 P 2.51-2.70, 4 Ni 2.60
Ni: 0.0000 0.6739 0.6739  7 P 2.51-2.70, 4 Ni 2.60
Ni: 0.3261 0.0000 0.3261  7 P 2.51-2.70, 4 Ni 2.60
Ni: 0.6739 0.0000 0.6739  7 P 2.51-2.70, 4 Ni 2.60
P: 0.6802 0.3198 0.0000  2 P 2.30, 4 Ni 2.51
P: 0.0000 0.0000 0.0000  8 P 2.66, 4 Ni 2.70
P: 0.3198 0.3198 0.6396  2 P 2.30, 4 Ni 2.51
P: 0.6802 0.6802 0.3604  2 P 2.30, 4 Ni 2.51
P: 0.3198 0.6802 0.0000  2 P 2.30, 4 Ni 2.51

Summary:
- crystal system = tetragonal
- energy relative to the elements (eV per atom) = 0.22
- symmetry = No. 139



# 6
Here is a relaxed LiHgPt2 crystal from Alexandria. Energies are from GGA-PBE.

abc: 4.9215 4.9215 2.8909
angles: 90.00 90.00 110.20
Last column: nearest neighbours and their distance in Å.
Fractional positions:
Li: 0.0000 0.5000 0.5000  2 Hg 2.82, 8 Pt 2.85, 2 Li 2.89
Hg: 0.5000 0.0000 0.5000  2 Li 2.82, 8 Pt 2.85, 2 Hg 2.89
Pt: 0.0000 0.0000 0.0000  4 Pt 2.82-2.89, 4 Li 2.85, 4 Hg 2.85
Pt: 0.5000 0.5000 0.0000  4 Pt 2.82-2.89, 4 Hg 2.85, 4 Li 2.85

Summary:
- crystal system = orthorhombic
- energy relative to the elements (eV per atom) = -0.26
- symmetry = No. 65



The evaluated raw total energy for the records listed, in turn: -3.4799; -3.9150; -2.2180; -1.8699; -5.3501; -3.8299 eV per atom.
The evaluated total moment for the records listed, in turn: 0.00; 0.00; 0.00; 0.13; 0.00; 0.00 μB/atom.
The evaluated D(E_F) for the records listed, in turn: 2.49; 3.79; 3.39; 3.86; 5.18; 1.46 states/eV/f.u..